# 1
BeCuOs, optimized geometry, DFT PBE-GGA; space group = No. 216; V = 36.8 Å³/cell; ΔH_f (0 K) = 1.4 eV per formula unit; size of the total moment = 0.00 Bohr magnetons per cell
1.0
0.0000 2.6410 2.6410
2.6410 0.0000 2.6410
2.6410 2.6410 0.0000
Be Cu Os
1 1 1
Direct
0.0000 0.0000 0.0000 Be
0.7500 0.7500 0.7500 Cu
0.2500 0.2500 0.2500 Os

# 2
Cu5Se2S, optimized geometry, DFT PBE-GGA; space group = No. 14; V = 548.6 Å³/cell; ΔE_f (raw) = -0.10 eV/atom; size of the total moment = 0.00 Bohr magnetons per cell
1.0
10.2634 0.0000 0.0000
0.0000 7.9229 0.0000
-1.4596 0.0000 6.7461
Cu Se S
20 8 4
Direct
0.0801 0.1796 0.1656 Cu
0.0801 0.3204 0.6656 Cu
0.1451 0.6200 0.8246 Cu
0.1451 0.8800 0.3246 Cu
0.2643 0.5914 0.1879 Cu
0.2643 0.9086 0.6879 Cu
0.3935 0.6792 0.5362 Cu
0.3935 0.8208 0.0362 Cu
0.3964 0.1680 0.5331 Cu
0.3964 0.3320 0.0331 Cu
0.6036 0.6680 0.9669 Cu
0.6036 0.8320 0.4669 Cu
0.6065 0.1792 0.9638 Cu
0.6065 0.3208 0.4638 Cu
0.7357 0.0914 0.3121 Cu
0.7357 0.4086 0.8121 Cu
0.8549 0.1200 0.6754 Cu
0.8549 0.3800 0.1754 Cu
0.9199 0.6796 0.3344 Cu
0.9199 0.8204 0.8344 Cu
0.1540 0.6058 0.4753 Se
0.1540 0.8942 0.9753 Se
0.4894 0.0946 0.2414 Se
0.4894 0.4054 0.7414 Se
0.5106 0.5946 0.2586 Se
0.5106 0.9054 0.7586 Se
0.8460 0.1058 0.0247 Se
0.8460 0.3942 0.5247 Se
0.1752 0.1344 0.4892 S
0.1752 0.3656 0.9892 S
0.8248 0.6344 0.0108 S
0.8248 0.8656 0.5108 S

# 3
Ho2Ti2Si2C, optimized geometry, DFT PBE-GGA; space group = No. 139; V = 127.6 Å³/cell; ΔE_f (raw) = -0.78 eV/atom; size of the total moment = 0.82 Bohr magnetons per cell
1.0
-2.0673 2.0673 7.4628
2.0673 -2.0673 7.4628
2.0673 2.0673 -7.4628
Ho Ti Si C
2 2 2 1
Direct
0.1669 0.1669 0.0000 Ho
0.8331 0.8331 0.0000 Ho
0.0000 0.5000 0.5000 Ti
0.5000 0.0000 0.5000 Ti
0.3748 0.3748 0.0000 Si
0.6252 0.6252 0.0000 Si
0.0000 0.0000 0.0000 C

# 4
Tl2In2Rh, optimized geometry, DFT PBE-GGA; space group = No. 127; V = 269.2 Å³/cell; ΔH_f (0 K) = 0.6 eV per formula unit; size of the total moment = 0.00 Bohr magnetons per cell
1.0
6.9861 0.0000 0.0000
0.0000 6.9861 0.0000
0.0000 0.0000 5.5155
Tl In Rh
4 4 2
Direct
0.1803 0.3197 0.0000 Tl
0.3197 0.8197 0.0000 Tl
0.6803 0.1803 0.0000 Tl
0.8197 0.6803 0.0000 Tl
0.1591 0.6591 0.5000 In
0.3409 0.1591 0.5000 In
0.6591 0.8409 0.5000 In
0.8409 0.3409 0.5000 In
0.0000 0.0000 0.5000 Rh
0.5000 0.5000 0.5000 Rh

# 5
Cs2CaTlCl6, optimized geometry, DFT PBE-GGA; space group = No. 225; V = 343.7 Å³/cell; ΔE_f (raw) = -1.74 eV/atom; size of the total moment = 0.00 Bohr magnetons per cell
1.0
0.0000 5.5596 5.5596
5.5596 0.0000 5.5596
5.5596 5.5596 0.0000
Cs Ca Tl Cl
2 1 1 6
Direct
0.2500 0.2500 0.2500 Cs
0.7500 0.7500 0.7500 Cs
0.0000 0.0000 0.0000 Ca
0.5000 0.5000 0.5000 Tl
0.2452 0.2452 0.7548 Cl
0.2452 0.7548 0.2452 Cl
0.2452 0.7548 0.7548 Cl
0.7548 0.2452 0.2452 Cl
0.7548 0.2452 0.7548 Cl
0.7548 0.7548 0.2452 Cl

# 6
BaNb2FeHg, optimized geometry, DFT PBE-GGA; space group = No. 123; V = 122.0 Å³/cell; ΔH_f (0 K) = 12.3 eV per formula unit; size of the total moment = 0.00 Bohr magnetons per cell
1.0
5.1366 0.0000 0.0000
0.0000 5.1366 0.0000
0.0000 0.0000 4.6226
Ba Nb Fe Hg
1 2 1 1
Direct
0.0000 0.0000 0.0000 Ba
0.0000 0.5000 0.0000 Nb
0.5000 0.0000 0.0000 Nb
0.0000 0.0000 0.5000 Fe
0.5000 0.5000 0.5000 Hg

# 7
AlCd3Pt, optimized geometry, DFT PBE-GGA; space group = No. 221; V = 125.1 Å³/cell; ΔH_f (0 K) = 3.6 eV per formula unit; size of the total moment = 0.00 Bohr magnetons per cell
1.0
5.0015 0.0000 0.0000
0.0000 5.0015 0.0000
0.0000 0.0000 5.0015
Al Cd Pt
1 3 1
Direct
0.0000 0.0000 0.0000 Al
0.0000 0.0000 0.5000 Cd
0.0000 0.5000 0.0000 Cd
0.5000 0.0000 0.0000 Cd
0.5000 0.5000 0.5000 Pt

# 8
Tb2TlBi, optimized geometry, DFT PBE-GGA; space group = No. 225; V = 115.0 Å³/cell; ΔH_f (0 K) = -1.7 eV per formula unit; size of the total moment = 0.00 Bohr magnetons per cell
1.0
0.0000 3.8600 3.8600
3.8600 0.0000 3.8600
3.8600 3.8600 0.0000
Tb Tl Bi
2 1 1
Direct
0.2500 0.2500 0.2500 Tb
0.7500 0.7500 0.7500 Tb
0.0000 0.0000 0.0000 Tl
0.5000 0.5000 0.5000 Bi

# 9
Tl4In3Pb, optimized geometry, DFT PBE-GGA; space group = No. 12; V = 236.9 Å³/cell; ΔH_f (0 K) = 0.1 eV per formula unit; size of the total moment = 0.00 Bohr magnetons per cell
1.0
10.7140 -2.1420 0.0000
10.7140 2.1420 0.0000
-1.1875 0.0000 5.1615
Tl In Pb
4 3 1
Direct
0.1233 0.1233 0.1193 Tl
0.2477 0.2477 0.7479 Tl
0.7523 0.7523 0.2521 Tl
0.8767 0.8767 0.8807 Tl
0.3771 0.3771 0.3821 In
0.5000 0.5000 0.0000 In
0.6229 0.6229 0.6179 In
0.0000 0.0000 0.5000 Pb

# 10
ReSi3H, optimized geometry, DFT PBE-GGA; space group = No. 221; V = 100.4 Å³/cell; calculated total energy = -0.4246 Ry per atom; size of the total moment = 0.00 Bohr magnetons per cell
1.0
4.6481 0.0000 0.0000
0.0000 4.6481 0.0000
0.0000 0.0000 4.6481
Re Si H
1 3 1
Direct
0.0000 0.0000 0.0000 Re
0.0000 0.0000 0.5000 Si
0.0000 0.5000 0.0000 Si
0.5000 0.0000 0.0000 Si
0.5000 0.5000 0.5000 H

# 11
Te4MoW, optimized geometry, DFT PBE-GGA; space group = No. 8; V = 170.1 Å³/cell; ΔE_f (raw) = -0.19 eV/atom; size of the total moment = 0.00 Bohr magnetons per cell
1.0
7.8729 -1.7438 0.0000
7.8729 1.7438 0.0000
-1.3739 0.0000 6.1934
Te Mo W
4 1 1
Direct
0.0000 0.0000 0.0000 Te
0.2316 0.2316 0.7735 Te
0.5394 0.5394 0.5285 Te
0.7712 0.7712 0.3046 Te
0.6288 0.6288 0.9686 Mo
0.1420 0.1420 0.3346 W

# 12
MgOs2, optimized geometry, DFT PBE-GGA; space group = No. 62; V = 184.6 Å³/cell; ΔH_f (0 K) = 1.1 eV per formula unit; size of the total moment = 0.00 Bohr magnetons per cell
1.0
5.4258 0.0000 0.0000
0.0000 4.0104 0.0000
0.0000 0.0000 8.4849
Mg Os
4 8
Direct
0.1112 0.2500 0.0839 Mg
0.3888 0.7500 0.5839 Mg
0.6112 0.2500 0.4161 Mg
0.8888 0.7500 0.9161 Mg
0.1057 0.2500 0.7239 Os
0.1074 0.2500 0.4140 Os
0.3926 0.7500 0.9140 Os
0.3943 0.7500 0.2239 Os
0.6057 0.2500 0.7761 Os
0.6074 0.2500 0.0860 Os
0.8926 0.7500 0.5860 Os
0.8943 0.7500 0.2761 Os